# TbHoOs4

A relaxed TbHoOs4 crystal (PBE-GGA, Alexandria via LeMat-Bulk).

Cell lengths 7.5756, 7.5756, 7.5756 Å; angles 90.00, 90.00, 90.00 degrees
With the nearest neighbours (Å) after each atom.
Space group F-43m (No. 216)
One atom of each set of equivalent atoms:
Tb1 0.0000 0.0000 0.0000 [4 per cell]  12 Os 3.14, 4 Ho 3.28
Ho1 0.2500 0.2500 0.7500 [4 per cell]  12 Os 3.14, 4 Tb 3.28
Os1 0.1250 0.1250 0.3750 [16 per cell]  6 Os 2.68

Properties
Spin magnetization (Bohr magnetons per cell): 0.003
Energy of formation (eV/atom): -0.272